1.
Crystalline CaAu2I6 at its relaxed geometry, computed with GGA-PBE.

Lattice parameters (Å, degrees): 15.461 14.038 7.767 90.00 114.93 90.00
Space group C2/c (No. 15)
One atom of each set of equivalent atoms:
Ca (0.000, 0.103, 0.250) x4
Au (0.197, 0.410, 0.258) x8
I (0.107, 0.453, 0.482) x8
I (0.114, 0.083, 0.696) x8
I (0.160, 0.218, 0.203) x8

Results
Calculated total energy, eV per atom: -2.43

***

2.
Crystalline DyPaCuO6 at its relaxed geometry, computed with GGA-PBE.

Lattice parameters (Å, degrees): 5.3055 5.3055 4.8855 90.00 90.00 120.00
Space group P312 (No. 149)
One atom of each set of equivalent atoms:
Dy (0.0000, 0.0000, 0.0000) x1
Pa (0.6667, 0.3333, 0.5000) x1
Cu (0.3333, 0.6667, 0.0000) x1
O (0.0142, 0.3700, 0.2382) x6

Results
Calculated total energy, eV per atom: -7.63

***

3.
Crystalline HgSbAu at its relaxed geometry, computed with GGA-PBE.

Lattice parameters (Å, degrees): 6.823 5.753 8.472 90.00 98.36 90.00
Space group P2_1/c (No. 14)
One atom of each set of equivalent atoms:
Hg (0.095, 0.230, 0.336) x4
Sb (0.429, 0.706, 0.409) x4
Au (0.264, 0.512, 0.120) x4

Results
Calculated total energy, eV per atom: -2.56

***

4.
Crystalline Tb4Nd4Sc at its relaxed geometry, computed with GGA-PBE.

Lattice parameters (Å, degrees): 10.760 10.760 5.043 90.00 90.00 90.00
Space group I4/mmm (No. 139)
One atom of each set of equivalent atoms:
Tb (0.000, 0.332, 0.000) x8
Nd (0.164, 0.164, 0.500) x8
Sc (0.000, 0.000, 0.000) x2

Results
Energy relative to the lowest polymorph listed for this composition, meV/atom: 0
Energy of formation from the pure elements, meV per atom: 28